1.
Sr3Sc2Cu2S2O5: relaxed, PBEsol.

```
Sr3Sc2Cu2S2O5
1.0
-2.7109 1.6923 2.4822
2.2341 -1.0996 3.1896
6.5911 10.7969 -3.4612
Sc Sr O S Cu
2 3 5 2 2
Direct
0.9228 0.9228 0.8457
0.0772 0.0772 0.1543
0.6457 0.6457 0.2915
0.5000 0.5000 0.0000
0.3543 0.3543 0.7085
0.0874 0.5874 0.1749
0.5874 0.0874 0.1749
0.0000 0.0000 0.0000
0.4126 0.9126 0.8251
0.9126 0.4126 0.8251
0.8005 0.8005 0.6010
0.1995 0.1995 0.3990
0.7500 0.2500 0.5000
0.2500 0.7500 0.5000
```

Summary:
- SG = No. 139

2.
PrSi2P6: relaxed, PBEsol.

```
PrSi2P6
1.0
10.0707 0.0000 0.0000
0.0000 10.2198 0.0000
-5.0354 0.0000 13.8880
Pr Si P
8 16 48
Direct
0.2342 0.7397 0.4685
0.9595 0.7762 0.9190
0.6885 0.7584 0.3770
0.7658 0.2397 0.5315
0.4201 0.8547 0.8402
0.3115 0.2584 0.6230
0.5799 0.3547 0.1598
0.0405 0.2762 0.0810
0.2634 0.4965 0.8666
0.0069 0.4683 0.3561
0.6032 0.4965 0.8666
0.6508 0.9683 0.6439
0.9209 0.6760 0.1611
0.7366 0.9965 0.1334
0.0117 0.6348 0.6696
0.6579 0.6348 0.6696
0.3492 0.4683 0.3561
0.7597 0.1760 0.8389
0.0791 0.1760 0.8389
0.3421 0.1348 0.3304
0.9883 0.1348 0.3304
0.9931 0.9683 0.6439
0.2403 0.6760 0.1611
0.3968 0.9965 0.1334
0.6165 0.0979 0.9152
0.1075 0.3762 0.9094
0.9591 0.0716 0.9181
0.9221 0.5002 0.8441
0.3626 0.6808 0.3154
0.9528 0.6808 0.3154
0.2281 0.4500 0.4561
0.6553 0.1493 0.3105
0.1020 0.9659 0.5331
0.8019 0.3762 0.9094
0.1575 0.9955 0.3150
0.6809 0.4737 0.3618
0.4311 0.9659 0.5331
0.6722 0.8165 0.7595
0.2687 0.6872 0.9415
0.7719 0.9500 0.5439
0.3447 0.6493 0.6895
0.4939 0.9967 0.2946
0.4239 0.2161 0.8477
0.6727 0.6872 0.9415
0.8425 0.4955 0.6851
0.7014 0.5979 0.0848
0.4704 0.3918 0.9408
0.9660 0.6687 0.5135
0.3835 0.5979 0.0848
0.3278 0.3165 0.2405
0.3191 0.9737 0.6382
0.0472 0.1808 0.6846
0.0779 0.0002 0.1559
0.0409 0.5716 0.0819
0.1981 0.8762 0.0906
0.2986 0.0979 0.9152
0.8925 0.8762 0.0906
0.8980 0.4659 0.4669
0.5689 0.4659 0.4669
0.9127 0.3165 0.2405
0.7313 0.1872 0.0585
0.5296 0.8918 0.0592
0.5475 0.6687 0.5135
0.0873 0.8165 0.7595
0.1994 0.4967 0.7054
0.0340 0.1687 0.4865
0.4525 0.1687 0.4865
0.8006 0.9967 0.2946
0.5061 0.4967 0.7054
0.3273 0.1872 0.0585
0.6374 0.1808 0.6846
0.5761 0.7161 0.1523
```

Summary:
- SG = No. 36

| no. | final energy (eV/atom) | formation energy (no corrections) (eV/atom) |
| --- | --- | --- |
| 1 | -6.913 | -2.45 |
| 2 | -6.159 | -0.44 |